<P>
Computed, not measured: a relaxed structure of SmTmGaAu at the GGA-PBE level of DFT.

Geometry as POSCAR:
```
SmTmGaAu
1.0
4.517 0.000 0.000
0.000 1.900 5.645
0.000 -1.900 5.645
Sm Tm Ga Au
1 1 1 1
Cartesian
0.000 0.000 0.000
2.259 0.000 8.056
2.259 0.000 4.868
0.000 0.000 3.067
```

Output
The calculation puts the total moment at 0.0000 μB/atom.


<Q>
Computed, not measured: a relaxed structure of SmTmGaAu at the GGA-PBE level of DFT.

Geometry as POSCAR:
```
SmTmGaAu
1.0
0.000 3.623 3.623
3.623 0.000 3.623
3.623 3.623 0.000
Sm Tm Ga Au
1 1 1 1
Cartesian
0.000 0.000 0.000
3.623 3.623 3.623
1.812 1.812 1.812
5.435 5.435 5.435
```

Output
The calculation puts the total moment at 0.0000 μB/atom.


It comes down to <P>, which is 33 meV/atom more stable than the next structure.


<P>
Computed, not measured: a relaxed structure of GaSn2Au2 at the GGA-PBE level of DFT.

Geometry as POSCAR:
```
GaSn2Au2
1.0
7.285 0.000 0.000
0.000 7.285 0.000
0.000 0.000 4.259
Ga Sn Au
2 4 4
Cartesian
0.000 0.000 0.000
3.642 3.642 0.000
1.216 2.426 2.130
2.426 6.068 2.130
4.858 1.216 2.130
6.068 4.858 2.130
1.029 4.671 0.000
2.614 1.029 0.000
4.671 6.256 0.000
6.256 2.614 0.000
```

Output
The calculation puts the total moment at 0.0000 μB/atom.


<Q>
Computed, not measured: a relaxed structure of GaSn2Au2 at the GGA-PBE level of DFT.

Geometry as POSCAR:
```
GaSn2Au2
1.0
2.177 -6.615 0.000
2.177 6.615 0.000
0.000 0.000 8.670
Ga Sn Au
2 4 4
Cartesian
2.177 4.743 4.335
2.177 -4.743 0.000
2.177 5.701 6.962
2.177 1.644 5.082
2.177 -1.644 0.747
2.177 -5.701 2.628
2.177 3.390 8.552
2.177 0.651 7.725
2.177 -0.651 3.390
2.177 -3.390 4.217
```

Output
The calculation puts the total moment at 0.0000 μB/atom.


<R>
Computed, not measured: a relaxed structure of GaSn2Au2 at the GGA-PBE level of DFT.

Geometry as POSCAR:
```
GaSn2Au2
1.0
7.983 0.000 0.000
0.000 7.983 0.000
0.000 0.000 3.654
Ga Sn Au
2 4 4
Cartesian
0.000 0.000 0.000
3.991 3.991 0.000
1.371 2.621 0.000
2.621 6.612 0.000
5.362 1.371 0.000
6.612 5.362 0.000
1.036 5.027 1.827
2.955 1.036 1.827
5.027 6.947 1.827
6.947 2.955 1.827
```

Output
The calculation puts the total moment at 0.0000 μB/atom.


<S>
Computed, not measured: a relaxed structure of GaSn2Au2 at the GGA-PBE level of DFT.

Geometry as POSCAR:
```
GaSn2Au2
1.0
-2.287 2.287 6.057
2.287 -2.287 6.057
2.287 2.287 -6.057
Ga Sn Au
1 2 2
Cartesian
0.000 0.000 0.000
0.000 0.000 4.594
0.000 0.000 7.521
2.287 0.000 3.029
0.000 2.287 3.029
```

Output
The calculation puts the total moment at 0.0000 μB/atom.


It comes down to <Q>, which is 89 meV/atom more stable than the next structure.


<P>
Computed, not measured: a relaxed structure of Ga2SnAu4 at the GGA-PBE level of DFT.

Geometry as POSCAR:
```
Ga2SnAu4
1.0
2.134 1.232 9.442
-2.134 1.232 9.442
0.000 -2.464 9.442
Ga Sn Au
2 1 4
Cartesian
0.000 0.000 5.681
0.000 0.000 22.647
0.000 0.000 0.000
0.000 0.000 2.999
0.000 0.000 10.931
0.000 0.000 17.396
0.000 0.000 25.328
```

Output
The calculation puts the total moment at 0.0000 μB/atom.


<Q>
Computed, not measured: a relaxed structure of Ga2SnAu4 at the GGA-PBE level of DFT.

Geometry as POSCAR:
```
Ga2SnAu4
1.0
3.898 -5.084 0.000
3.898 5.084 0.000
0.000 0.000 3.563
Ga Sn Au
2 1 4
Cartesian
1.949 2.542 0.000
1.949 -2.542 0.000
0.000 0.000 1.792
2.379 0.000 0.017
3.898 1.978 1.784
3.898 -1.978 1.784
5.418 0.000 0.017
```

Output
The calculation puts the total moment at 0.0000 μB/atom.


It comes down to <Q>, which is 5 meV/atom more stable than the next structure.


<P>
Computed, not measured: a relaxed structure of GaSnAu3 at the GGA-PBE level of DFT.

Geometry as POSCAR:
```
GaSnAu3
1.0
6.855 -1.960 0.000
6.855 1.960 0.000
-4.916 0.000 7.803
Ga Sn Au
2 2 6
Cartesian
-0.139 0.000 2.194
8.934 0.000 5.609
4.052 0.000 1.491
4.742 0.000 6.312
1.498 0.000 0.089
0.161 0.000 5.507
2.871 0.000 4.086
5.924 0.000 3.717
8.633 0.000 2.296
7.297 0.000 7.714
```

Output
The calculation puts the total moment at 0.0000 μB/atom.


<Q>
Computed, not measured: a relaxed structure of GaSnAu3 at the GGA-PBE level of DFT.

Geometry as POSCAR:
```
GaSnAu3
1.0
4.909 0.000 0.000
0.000 4.909 0.000
0.000 0.000 4.909
Ga Sn Au
1 1 3
Cartesian
0.000 0.000 0.000
2.454 2.454 2.454
0.000 0.000 2.454
0.000 2.454 0.000
2.454 0.000 0.000
```

Output
The calculation puts the total moment at 0.0000 μB/atom.


It comes down to <P>, which is 301 meV/atom more stable than the next structure.


<P>
Computed, not measured: a relaxed structure of Ga2Sn2Au at the GGA-PBE level of DFT.

Geometry as POSCAR:
```
Ga2Sn2Au
1.0
7.505 0.000 0.000
0.000 7.505 0.000
0.000 0.000 4.262
Ga Sn Au
4 4 2
Cartesian
1.028 2.725 0.000
2.725 6.478 0.000
4.780 1.028 0.000
6.478 4.780 0.000
1.208 4.961 2.131
2.544 1.208 2.131
4.961 6.297 2.131
6.297 2.544 2.131
0.000 0.000 2.131
3.753 3.753 2.131
```

Output
The calculation puts the total moment at 0.0000 μB/atom.


<Q>
Computed, not measured: a relaxed structure of Ga2Sn2Au at the GGA-PBE level of DFT.

Geometry as POSCAR:
```
Ga2Sn2Au
1.0
-1.849 1.849 8.420
1.849 -1.849 8.420
1.849 1.849 -8.420
Ga Sn Au
2 2 1
Cartesian
1.849 0.000 4.210
0.000 1.849 4.210
0.000 0.000 1.624
0.000 0.000 15.215
0.000 0.000 8.420
```

Output
The calculation puts the total moment at 0.0000 μB/atom.


It comes down to <Q>, which is 18 meV/atom more stable than the next structure.


<P>
Computed, not measured: a relaxed structure of Ga2Sn2Au at the GGA-PBE level of DFT.

Geometry as POSCAR:
```
Ga2Sn2Au
1.0
6.731 0.000 0.000
0.000 6.731 0.000
0.000 0.000 4.991
Ga Sn Au
4 4 2
Cartesian
0.917 2.448 0.000
2.448 5.813 0.000
4.282 0.917 0.000
5.813 4.282 0.000
1.168 4.534 2.495
2.197 1.168 2.495
4.534 5.562 2.495
5.562 2.197 2.495
0.000 0.000 0.000
3.365 3.365 0.000
```

Output
The calculation puts the total moment at 0.0000 μB/atom.


<Q>
Computed, not measured: a relaxed structure of Ga2Sn2Au at the GGA-PBE level of DFT.

Geometry as POSCAR:
```
Ga2Sn2Au
1.0
-2.307 2.307 5.749
2.307 -2.307 5.749
2.307 2.307 -5.749
Ga Sn Au
2 2 1
Cartesian
0.000 0.000 1.198
0.000 0.000 10.301
2.307 0.000 2.875
0.000 2.307 2.875
0.000 0.000 5.749
```

Output
The calculation puts the total moment at 0.0000 μB/atom.


It comes down to <P>, which is 259 meV/atom more stable than the next structure.


<P>
Computed, not measured: a relaxed structure of Ga2SnAu2 at the GGA-PBE level of DFT.

Geometry as POSCAR:
```
Ga2SnAu2
1.0
4.366 0.000 0.000
-2.183 3.781 0.000
0.000 0.000 6.603
Ga Sn Au
2 1 2
Cartesian
0.000 2.521 2.353
2.183 1.260 4.250
0.000 0.000 0.000
0.000 2.521 5.058
2.183 1.260 1.545
```

Output
The calculation puts the total moment at 0.0000 μB/atom.


<Q>
Computed, not measured: a relaxed structure of Ga2SnAu2 at the GGA-PBE level of DFT.

Geometry as POSCAR:
```
Ga2SnAu2
1.0
-2.007 2.007 6.341
2.007 -2.007 6.341
2.007 2.007 -6.341
Ga Sn Au
2 1 2
Cartesian
2.007 0.000 3.170
0.000 2.007 3.170
0.000 0.000 0.000
0.000 0.000 4.940
0.000 0.000 7.742
```

Output
The calculation puts the total moment at 0.0000 μB/atom.


<R>
Computed, not measured: a relaxed structure of Ga2SnAu2 at the GGA-PBE level of DFT.

Geometry as POSCAR:
```
Ga2SnAu2
1.0
8.183 0.000 0.000
0.000 8.183 0.000
0.000 0.000 3.024
Ga Sn Au
4 2 4
Cartesian
1.117 2.975 0.000
2.975 7.067 0.000
5.208 1.117 0.000
7.067 5.208 0.000
0.000 0.000 0.000
4.092 4.092 0.000
1.286 5.378 1.512
2.806 1.286 1.512
5.378 6.897 1.512
6.897 2.806 1.512
```

Output
The calculation puts the total moment at 0.0000 μB/atom.


<S>
Computed, not measured: a relaxed structure of Ga2SnAu2 at the GGA-PBE level of DFT.

Geometry as POSCAR:
```
Ga2SnAu2
1.0
-2.277 2.277 5.117
2.277 -2.277 5.117
2.277 2.277 -5.117
Ga Sn Au
2 1 2
Cartesian
0.000 0.000 1.245
0.000 0.000 8.988
0.000 0.000 5.117
2.277 0.000 2.558
0.000 2.277 2.558
```

Output
The calculation puts the total moment at 0.0000 μB/atom.


It comes down to <P>, which is 33 meV/atom more stable than the next structure.


<P>
Computed, not measured: a relaxed structure of Ga2SnAu8 at the GGA-PBE level of DFT.

Geometry as POSCAR:
```
Ga2SnAu8
1.0
4.235 -5.481 0.000
4.235 5.481 0.000
-1.396 0.000 4.573
Ga Sn Au
2 1 8
Cartesian
4.235 3.946 0.000
4.235 -3.946 0.000
3.537 0.000 2.286
0.731 0.000 1.993
1.376 1.487 4.333
3.537 2.823 2.286
1.376 -1.487 4.333
5.699 1.487 0.240
3.537 -2.823 2.286
5.699 -1.487 0.240
6.344 0.000 2.580
```

Output
The calculation puts the total moment at 0.0000 μB/atom.


<Q>
Computed, not measured: a relaxed structure of Ga2SnAu8 at the GGA-PBE level of DFT.

Geometry as POSCAR:
```
Ga2SnAu8
1.0
8.764 -1.817 0.000
8.764 1.817 0.000
-0.697 0.000 6.665
Ga Sn Au
2 1 8
Cartesian
3.334 0.000 1.009
13.497 0.000 5.656
8.416 0.000 3.333
0.675 0.000 1.296
2.907 0.000 5.038
5.579 0.000 3.811
7.159 0.000 0.787
9.672 0.000 5.878
11.253 0.000 2.855
13.925 0.000 1.628
16.157 0.000 5.369
```

Output
The calculation puts the total moment at 0.0000 μB/atom.


It comes down to <Q>, which is 12 meV/atom more stable than the next structure.


<P>
Computed, not measured: a relaxed structure of Ga3SnAu3 at the GGA-PBE level of DFT.

Geometry as POSCAR:
```
Ga3SnAu3
1.0
3.829 2.210 6.245
-3.829 2.210 6.245
0.000 -4.421 6.245
Ga Sn Au
6 2 6
Cartesian
-1.189 -2.349 8.369
-2.629 -0.145 10.366
-1.440 2.205 8.369
1.440 -2.205 10.366
2.629 0.145 8.369
1.189 2.349 10.366
0.000 0.000 6.261
0.000 0.000 12.475
-2.518 -0.051 7.690
-1.214 -2.206 11.046
1.303 -2.155 7.690
-1.303 2.155 11.046
1.214 2.206 7.690
2.518 0.051 11.046
```

Output
The calculation puts the total moment at 0.0000 μB/atom.


<Q>
Computed, not measured: a relaxed structure of Ga3SnAu3 at the GGA-PBE level of DFT.

Geometry as POSCAR:
```
Ga3SnAu3
1.0
7.135 0.000 0.000
0.000 7.135 0.000
0.000 0.000 7.135
Ga Sn Au
6 2 6
Cartesian
0.000 1.784 3.567
0.000 5.351 3.567
1.784 3.567 0.000
3.567 0.000 1.784
3.567 0.000 5.351
5.351 3.567 0.000
0.000 0.000 0.000
3.567 3.567 3.567
0.000 3.567 1.784
0.000 3.567 5.351
1.784 0.000 3.567
3.567 1.784 0.000
3.567 5.351 0.000
5.351 0.000 3.567
```

Output
The calculation puts the total moment at 0.0000 μB/atom.


It comes down to <P>, which is 231 meV/atom more stable than the next structure.


<P>
Computed, not measured: a relaxed structure of Ga2Sn2Au5 at the GGA-PBE level of DFT.

Geometry as POSCAR:
```
Ga2Sn2Au5
1.0
3.887 0.000 0.000
1.908 6.762 0.000
1.874 -0.110 7.191
Ga Sn Au
2 2 5
Cartesian
1.901 2.158 1.537
5.769 4.494 5.653
1.881 0.607 5.073
5.788 6.045 2.117
3.819 2.666 6.141
3.830 4.746 3.889
1.944 0.000 0.000
3.839 1.906 3.301
3.850 3.986 1.050
```

Output
The calculation puts the total moment at 0.0000 μB/atom.


<Q>
Computed, not measured: a relaxed structure of Ga2Sn2Au5 at the GGA-PBE level of DFT.

Geometry as POSCAR:
```
Ga2Sn2Au5
1.0
6.543 -2.282 0.000
6.543 2.282 0.000
-5.239 0.000 6.793
Ga Sn Au
2 2 5
Cartesian
-0.457 0.000 2.719
8.304 0.000 4.074
4.395 0.000 0.594
3.452 0.000 6.198
0.000 0.000 0.000
-2.167 0.000 4.757
0.795 0.000 5.019
7.052 0.000 1.774
10.015 0.000 2.036
```

Output
The calculation puts the total moment at 0.0000 μB/atom.


It comes down to <P>, which is 45 meV/atom more stable than the next structure.